# 1
This record from the Alexandria database describes crystalline TePdPt at its relaxed geometry. The functional is PBE-GGA.

a = 3.622 Å, b = 3.622 Å, c = 4.896 Å
α = 111.71°, β = 111.71°, γ = 90.00°
Atoms (fractional coordinates):
Pt 0.284 0.284 0.568
Pd 0.945 0.945 0.889
Te 0.621 0.621 0.243

Properties
Mass density: 13016 kg/m³
Uncorrected formation energy: -0.131 eV per atom
Electronic total energy: -4.922 eV/atom
Size of the total moment: 0.000 μB per atom



# 2
This record from the Alexandria database describes crystalline CaSeS at its relaxed geometry. The functional is PBE-GGA.

a = 4.042 Å, b = 5.593 Å, c = 6.896 Å
α = 90.46°, β = 106.56°, γ = 90.03°
Atoms (fractional coordinates):
S 0.415 0.880 0.204
Se 0.544 0.377 0.469
Se 0.302 0.583 0.965
Ca 0.871 0.239 0.111
Ca 0.080 0.781 0.546
S 0.655 0.081 0.703

Properties
Mass density: 3359 kg/m³
Uncorrected formation energy: -1.253 eV per atom
Electronic total energy: -4.458 eV/atom
Size of the total moment: 0.000 μB per atom
Energy above the lowest structure with this stoichiometry: 0.05 eV/f.u.



# 3
This record from the Alexandria database describes crystalline ErPuAgHg at its relaxed geometry. The functional is PBE-GGA.

a = 5.224 Å, b = 5.224 Å, c = 5.224 Å
α = 60.00°, β = 60.00°, γ = 60.00°
Each line ends with the local moment (μB).
Atoms (fractional coordinates):
Hg 0.250 0.250 0.250  0.04
Ag 0.750 0.750 0.750  0.03
Pu 0.500 0.500 0.500  5.43
Er 0.000 0.000 0.000  0.16

Properties
Mass density: 11856 kg/m³
Electronic total energy: -5.670 eV/atom
Size of the total moment: 1.494 μB per atom
DFT formation energy: -0.63 eV/f.u.



# 4
This record from the Alexandria database describes crystalline SrOsPtO6 at its relaxed geometry. The functional is PBE-GGA.

a = 5.342 Å, b = 5.342 Å, c = 5.304 Å
α = 90.00°, β = 90.00°, γ = 60.00°
Each line ends with the local moment (μB).
Atoms (fractional coordinates):
O 0.989 0.630 0.702  0.08
O 0.381 0.989 0.702  0.08
Pt 0.333 0.333 0.500  0.07
O 0.381 0.630 0.298  0.08
O 0.630 0.381 0.702  0.08
Os 0.667 0.667 0.500  1.26
O 0.630 0.989 0.298  0.08
O 0.989 0.381 0.298  0.08
Sr 0.000 0.000 0.000  0.01

Properties
Mass density: 7207 kg/m³
Uncorrected formation energy: -1.296 eV per atom
Electronic total energy: -6.707 eV/atom
Size of the total moment: 0.223 μB per atom



# 5
This record from the Alexandria database describes crystalline Tb2PmSmHo at its relaxed geometry. The functional is PBE-GGA.

a = 7.163 Å, b = 8.418 Å, c = 7.143 Å
α = 126.10°, β = 90.00°, γ = 90.00°
Atoms (fractional coordinates):
Tb 0.500 0.313 0.000
Pm 0.250 0.996 0.991
Pm 0.750 0.004 0.009
Sm 0.750 0.273 0.546
Tb 0.000 0.313 0.000
Tb 0.000 0.687 0.000
Ho 0.750 0.725 0.451
Tb 0.500 0.687 0.000
Sm 0.250 0.727 0.454
Ho 0.250 0.275 0.549

Properties
Mass density: 7426 kg/m³
Electronic total energy: -4.263 eV/atom
Size of the total moment: 0.003 μB per atom
DFT formation energy: 2.00 eV/f.u.



# 6
This record from the Alexandria database describes crystalline LaCd3Sb3 at its relaxed geometry. The functional is PBE-GGA.

a = 4.545 Å, b = 8.797 Å, c = 12.243 Å
α = 76.48°, β = 73.23°, γ = 66.89°
Atoms (fractional coordinates):
Sb 0.723 0.839 0.805
Cd 0.617 0.051 0.586
La 0.478 0.625 0.672
La 0.522 0.375 0.328
Cd 0.965 0.945 0.185
Sb 0.042 0.723 0.462
Cd 0.035 0.055 0.815
Sb 0.958 0.277 0.538
Sb 0.277 0.161 0.195
Cd 0.618 0.629 0.020
Cd 0.382 0.371 0.980
Sb 0.000 0.376 0.829
Sb 0.000 0.624 0.171
Cd 0.383 0.949 0.414

Properties
Mass density: 6544 kg/m³
Uncorrected formation energy: -0.321 eV per atom
Electronic total energy: -3.184 eV/atom
Size of the total moment: 0.000 μB per atom



# 7
This record from the Alexandria database describes crystalline AcYTe3 at its relaxed geometry. The functional is PBE-GGA.

a = 4.485 Å, b = 9.401 Å, c = 16.632 Å
α = 90.00°, β = 90.00°, γ = 90.00°
Atoms (fractional coordinates):
Te 0.250 0.001 0.114
Ac 0.750 0.139 0.697
Te 0.250 0.501 0.386
Te 0.250 0.655 0.954
Te 0.750 0.151 0.296
Te 0.750 0.651 0.204
Ac 0.250 0.861 0.303
Y 0.750 0.815 0.042
Te 0.750 0.845 0.454
Te 0.250 0.155 0.546
Y 0.750 0.315 0.458
Y 0.250 0.685 0.542
Y 0.250 0.185 0.958
Te 0.750 0.499 0.614
Te 0.750 0.345 0.046
Te 0.250 0.349 0.796
Te 0.750 0.999 0.886
Te 0.250 0.849 0.704
Ac 0.250 0.361 0.197
Ac 0.750 0.639 0.803

Properties
Mass density: 6618 kg/m³
Uncorrected formation energy: -1.506 eV per atom
Electronic total energy: -5.506 eV/atom
Size of the total moment: 0.000 μB per atom